1.
The following is a DFT calculation (PBE) of RbNbTl2Cr after structural relaxation. Values from VASP.

## Properties
Its space group is P4/mmm. For the total DFT energy (no corrections), the calculation gives -4.414 eV/atom. Its energy relative to the elements is 0.66 eV/atom.

Quantum ESPRESSO input file:
```
&SYSTEM
  ibrav = 0, nat = 5, ntyp = 4
/
ATOMIC_SPECIES
Rb 85.47 Rb.upf
Nb 92.91 Nb.upf
Tl 204.38 Tl.upf
Cr 52.00 Cr.upf
CELL_PARAMETERS angstrom
5.7120 0.0000 0.0000
0.0000 5.7120 0.0000
0.0000 0.0000 4.7813
ATOMIC_POSITIONS crystal
Rb 0.0000 0.0000 0.0000
Nb 0.5000 0.5000 0.5000
Tl 0.0000 0.5000 0.5000
Tl 0.5000 0.0000 0.5000
Cr 0.5000 0.5000 0.0000
```

---

2.
The following is a DFT calculation (PBE) of CuSiNi after structural relaxation. Values from VASP.

## Properties
Its space group is P6_3/mmc. For the total DFT energy (no corrections), the calculation gives -5.372 eV/atom. Its formation energy from raw total energies is -0.82 eV/f.u.

Quantum ESPRESSO input file:
```
&SYSTEM
  ibrav = 0, nat = 6, ntyp = 3
/
ATOMIC_SPECIES
Cu 63.55 Cu.upf
Si 28.09 Si.upf
Ni 58.69 Ni.upf
CELL_PARAMETERS angstrom
3.9948 0.0000 0.0000
-1.9974 3.4596 0.0000
0.0000 0.0000 5.0319
ATOMIC_POSITIONS crystal
Cu 0.0000 0.0000 0.0000
Cu 0.0000 0.0000 0.5000
Si 0.3333 0.6667 0.2500
Si 0.6667 0.3333 0.7500
Ni 0.3333 0.6667 0.7500
Ni 0.6667 0.3333 0.2500
```

---

3.
The following is a DFT calculation (PBE) of Nd2Y7Tl2 after structural relaxation. Values from VASP.

## Properties
Its space group is C2/m. For the total DFT energy (no corrections), the calculation gives -5.515 eV/atom. Its energy relative to the elements is -0.10 eV/atom.

Quantum ESPRESSO input file:
```
&SYSTEM
  ibrav = 0, nat = 11, ntyp = 3
/
ATOMIC_SPECIES
Nd 144.24 Nd.upf
Y 88.91 Y.upf
Tl 204.38 Tl.upf
CELL_PARAMETERS angstrom
4.3029 -4.9241 0.0000
4.3029 4.9241 0.0000
-2.7100 0.0000 8.1750
ATOMIC_POSITIONS crystal
Nd 0.1789 0.8211 0.0000
Nd 0.8211 0.1789 0.0000
Y 0.0227 0.3822 0.6745
Y 0.3608 0.3608 0.0868
Y 0.3822 0.0227 0.6745
Y 0.5000 0.5000 0.5000
Y 0.6178 0.9773 0.3255
Y 0.6392 0.6392 0.9132
Y 0.9773 0.6178 0.3255
Tl 0.1262 0.1262 0.3392
Tl 0.8738 0.8738 0.6608
```

---

4.
The following is a DFT calculation (PBE) of BaCa2Re after structural relaxation. Values from VASP.

## Properties
Its space group is Fm-3m. For the total DFT energy (no corrections), the calculation gives -3.717 eV/atom. Its excess energy over the best structure of this formula in the dataset is 163 meV/atom. Its energy relative to the elements is 0.88 eV/atom.

Quantum ESPRESSO input file:
```
&SYSTEM
  ibrav = 0, nat = 16, ntyp = 3
/
ATOMIC_SPECIES
Ba 137.33 Ba.upf
Ca 40.08 Ca.upf
Re 186.21 Re.upf
CELL_PARAMETERS angstrom
7.7412 0.0000 0.0000
0.0000 7.7412 0.0000
0.0000 0.0000 7.7412
ATOMIC_POSITIONS crystal
Ba 0.0000 0.0000 0.0000
Ba 0.0000 0.5000 0.5000
Ba 0.5000 0.0000 0.5000
Ba 0.5000 0.5000 0.0000
Ca 0.2500 0.2500 0.2500
Ca 0.2500 0.2500 0.7500
Ca 0.2500 0.7500 0.2500
Ca 0.2500 0.7500 0.7500
Ca 0.7500 0.2500 0.2500
Ca 0.7500 0.2500 0.7500
Ca 0.7500 0.7500 0.2500
Ca 0.7500 0.7500 0.7500
Re 0.0000 0.0000 0.5000
Re 0.0000 0.5000 0.0000
Re 0.5000 0.0000 0.0000
Re 0.5000 0.5000 0.5000
```

---

5.
The following is a DFT calculation (PBE) of SrCoSe2 after structural relaxation. Values from VASP.

## Properties
Its space group is Pmm2. For the total DFT energy (no corrections), the calculation gives -4.552 eV/atom. Its formation energy from raw total energies is -2.45 eV/f.u. Its excess energy over the best structure of this formula in the dataset is 313 meV/atom.

Quantum ESPRESSO input file:
```
&SYSTEM
  ibrav = 0, nat = 4, ntyp = 3
/
ATOMIC_SPECIES
Sr 87.62 Sr.upf
Co 58.93 Co.upf
Se 78.96 Se.upf
CELL_PARAMETERS angstrom
4.0601 0.0000 0.0000
0.0000 4.1001 0.0000
0.0000 0.0000 6.3594
ATOMIC_POSITIONS crystal
Sr 0.0000 0.0000 0.0000
Co 0.5000 0.5000 0.5403
Se 0.0000 0.0000 0.4829
Se 0.5000 0.5000 0.9141
```

---

6.
The following is a DFT calculation (PBE) of La8Te4P3Pt after structural relaxation. Values from VASP.

## Properties
Its space group is R-3m. For the total DFT energy (no corrections), the calculation gives -6.207 eV/atom. Its formation energy from raw total energies is -25.06 eV/f.u.

Quantum ESPRESSO input file:
```
&SYSTEM
  ibrav = 0, nat = 16, ntyp = 4
/
ATOMIC_SPECIES
La 138.91 La.upf
Te 127.60 Te.upf
P 30.97 P.upf
Pt 195.08 Pt.upf
CELL_PARAMETERS angstrom
4.3846 2.5315 7.4010
-4.3846 2.5315 7.4010
0.0000 -5.0629 7.4010
ATOMIC_POSITIONS crystal
La 0.2378 0.7404 0.7404
La 0.2387 0.2387 0.2387
La 0.2596 0.2596 0.7622
La 0.2596 0.7622 0.2596
La 0.7404 0.2378 0.7404
La 0.7404 0.7404 0.2378
La 0.7613 0.7613 0.7613
La 0.7622 0.2596 0.2596
Te 0.0000 0.0000 0.0000
Te 0.0000 0.5000 0.5000
Te 0.5000 0.0000 0.5000
Te 0.5000 0.5000 0.0000
P 0.0000 0.0000 0.5000
P 0.0000 0.5000 0.0000
P 0.5000 0.0000 0.0000
Pt 0.5000 0.5000 0.5000
```

---

7.
The following is a DFT calculation (PBE) of KNbCu2S4 after structural relaxation. Values from VASP.

## Properties
Its space group is Fmm2. For the total DFT energy (no corrections), the calculation gives -5.154 eV/atom. Its formation energy from raw total energies is -5.36 eV/f.u. Its excess energy over the best structure of this formula in the dataset is 177 meV/atom.

Quantum ESPRESSO input file:
```
&SYSTEM
  ibrav = 0, nat = 8, ntyp = 4
/
ATOMIC_SPECIES
K 39.10 K.upf
Nb 92.91 Nb.upf
Cu 63.55 Cu.upf
S 32.06 S.upf
CELL_PARAMETERS angstrom
0.0000 4.3633 4.7696
4.3582 0.0000 4.7696
4.3582 4.3633 0.0000
ATOMIC_POSITIONS crystal
K 0.0000 0.0000 0.0000
Nb 0.5008 0.5008 0.4992
Cu 0.2509 0.2509 0.2491
Cu 0.7509 0.7509 0.7491
S 0.1420 0.5513 0.4487
S 0.4500 0.8598 0.5500
S 0.5513 0.1420 0.8580
S 0.8598 0.4500 0.1402
```

---

8.
The following is a DFT calculation (PBE) of LiPmPuOs after structural relaxation. Values from VASP.

## Properties
Its space group is F-43m. For the total DFT energy (no corrections), the calculation gives -8.046 eV/atom. Its energy relative to the elements is 0.01 eV/atom.

Quantum ESPRESSO input file:
```
&SYSTEM
  ibrav = 0, nat = 16, ntyp = 4
/
ATOMIC_SPECIES
Li 6.94 Li.upf
Pm 145.00 Pm.upf
Pu 244.00 Pu.upf
Os 190.23 Os.upf
CELL_PARAMETERS angstrom
6.9878 0.0000 0.0000
0.0000 6.9878 0.0000
0.0000 0.0000 6.9878
ATOMIC_POSITIONS crystal
Li 0.0000 0.0000 0.0000
Li 0.0000 0.5000 0.5000
Li 0.5000 0.0000 0.5000
Li 0.5000 0.5000 0.0000
Pm 0.2500 0.2500 0.2500
Pm 0.2500 0.7500 0.7500
Pm 0.7500 0.2500 0.7500
Pm 0.7500 0.7500 0.2500
Pu 0.2500 0.2500 0.7500
Pu 0.2500 0.7500 0.2500
Pu 0.7500 0.2500 0.2500
Pu 0.7500 0.7500 0.7500
Os 0.0000 0.0000 0.5000
Os 0.0000 0.5000 0.0000
Os 0.5000 0.0000 0.0000
Os 0.5000 0.5000 0.5000
```

---

What is the formula in the seventh record?
KNbCu2S4

---

The lowest total DFT energy (no corrections) belongs to which entry?
LiPmPuOs

---

total DFT energy (no corrections) of number 5 (SrCoSe2)?
-4.552 eV/atom